--- 1 ---
DFT (PBE-GGA) results for a relaxed TeAsPd3 crystal.

Cell: 4.9490 4.9490 4.9490 Å, 90.00 90.00 90.00°
With the nearest neighbours (Å) after each atom.
Positions (direct):
Te1 0.0000 0.0000 0.0000  6 Pd 2.47
As1 0.5000 0.5000 0.5000  12 Pd 3.50
Pd1 0.0000 0.0000 0.5000  2 Te 2.47
Pd2 0.0000 0.5000 0.0000  2 Te 2.47
Pd3 0.5000 0.0000 0.0000  2 Te 2.47

## Properties
N(E_F), states/eV/atom: 1.059
Symmetry: Pm-3m (221)



--- 2 ---
DFT (PBE-GGA) results for a relaxed TeAsPd3 crystal.

Cell: 7.6265 5.3992 9.6822 Å, 90.00 113.33 90.00°
With the nearest neighbours (Å) after each atom.
Positions (direct):
Te1 0.2255 0.1527 0.3569  7 Pd 2.73-2.96
Te2 0.2255 0.3473 0.8569  7 Pd 2.73-2.96
Te3 0.7745 0.6527 0.1431  7 Pd 2.73-2.96
Te4 0.7745 0.8473 0.6431  7 Pd 2.73-2.96
As1 0.2951 0.6541 0.5729  5 Pd 2.49-2.64
As2 0.2951 0.8459 0.0729  5 Pd 2.49-2.64
As3 0.7049 0.1541 0.9271  5 Pd 2.49-2.64
As4 0.7049 0.3459 0.4271  5 Pd 2.49-2.64
Pd1 0.0522 0.2499 0.0508  1 As 2.49, 2 Te 2.74-2.78
Pd2 0.0522 0.2501 0.5508  1 As 2.49, 2 Te 2.74-2.78
Pd3 0.1893 0.6647 0.2785  2 As 2.62-2.64, 3 Te 2.73-2.91, 1 Pd 2.90
Pd4 0.1893 0.8353 0.7785  2 As 2.62-2.64, 3 Te 2.73-2.91, 1 Pd 2.90
Pd5 0.4430 0.0942 0.6698  2 As 2.52-2.64
Pd6 0.4430 0.4058 0.1698  2 As 2.52-2.64
Pd7 0.5570 0.5942 0.8302  2 As 2.52-2.64
Pd8 0.5570 0.9058 0.3302  2 As 2.52-2.64
Pd9 0.8107 0.1647 0.2215  2 As 2.62-2.64, 3 Te 2.73-2.91, 1 Pd 2.90
Pd10 0.8107 0.3353 0.7215  2 As 2.62-2.64, 3 Te 2.73-2.91, 1 Pd 2.90
Pd11 0.9478 0.7499 0.4492  1 As 2.49, 2 Te 2.74-2.78
Pd12 0.9478 0.7501 0.9492  1 As 2.49, 2 Te 2.74-2.78

## Properties
N(E_F), states/eV/atom: 0.453
Symmetry: P2_1/c (14)



Energy comparison, zero being the most stable, in eV/atom: 1 0.821; 2 0.000.



--- 1 ---
DFT (PBE-GGA) results for a relaxed TlAsPd6 crystal.

Cell: 4.0229 4.0229 8.0364 Å, 90.00 90.00 90.00°
With the nearest neighbours (Å) after each atom.
Positions (direct):
Tl1 0.0000 0.0000 0.0000  12 Pd 2.84-2.92
As1 0.0000 0.0000 0.5000  12 Pd 2.77-2.84
Pd1 0.0000 0.5000 0.2639  8 Pd 2.77-2.92, 2 As 2.77, 2 Tl 2.92
Pd2 0.0000 0.5000 0.7361  2 As 2.77, 8 Pd 2.77-2.92, 2 Tl 2.92
Pd3 0.5000 0.0000 0.2639  8 Pd 2.77-2.92, 2 As 2.77, 2 Tl 2.92
Pd4 0.5000 0.0000 0.7361  2 As 2.77, 8 Pd 2.77-2.92, 2 Tl 2.92
Pd5 0.5000 0.5000 0.0000  4 Tl 2.84, 8 Pd 2.92
Pd6 0.5000 0.5000 0.5000  8 Pd 2.77, 4 As 2.84

## Properties
N(E_F), states/eV/atom: 0.317
Symmetry: P4/mmm (123)



--- 2 ---
DFT (PBE-GGA) results for a relaxed TlAsPd6 crystal.

Cell: 7.7535 7.7535 7.7535 Å, 34.11 34.11 34.11°
With the nearest neighbours (Å) after each atom.
Positions (direct):
Tl1 0.0000 0.0000 0.0000  14 Pd 2.88-3.09
As1 0.5000 0.5000 0.5000  8 Pd 2.46-2.72
Pd1 0.1336 0.1336 0.1336  3 As 2.72, 7 Pd 2.74-3.00, 1 Tl 2.92
Pd2 0.2588 0.2588 0.2588  8 Pd 2.66-2.93
Pd3 0.3874 0.3874 0.3874  1 As 2.46, 3 Pd 2.66
Pd4 0.6126 0.6126 0.6126  1 As 2.46, 3 Pd 2.66
Pd5 0.7412 0.7412 0.7412  8 Pd 2.66-2.93
Pd6 0.8664 0.8664 0.8664  3 As 2.72, 7 Pd 2.74-3.00, 1 Tl 2.92

## Properties
N(E_F), states/eV/atom: 0.881
Symmetry: R-3m (166)



Energy comparison, zero being the most stable, in eV/atom: 1 0.000; 2 0.021.



--- 1 ---
DFT (PBE-GGA) results for a relaxed TlAs2Pd crystal.

Cell: 10.2240 10.2240 10.2240 Å, 18.13 18.13 18.13°
With the nearest neighbours (Å) after each atom.
Positions (direct):
Tl1 0.0000 0.0000 0.0000  2 As 3.20, 6 Tl 3.22
As1 0.1062 0.1062 0.1062  3 Pd 2.61
As2 0.8938 0.8938 0.8938  3 Pd 2.61
Pd1 0.5000 0.5000 0.5000  6 As 2.61

## Properties
N(E_F), states/eV/atom: 0.615
Symmetry: R-3m (166)



--- 2 ---
DFT (PBE-GGA) results for a relaxed TlAs2Pd crystal.

Cell: 4.8437 4.8437 4.8437 Å, 60.00 60.00 60.00°
With the nearest neighbours (Å) after each atom.
Positions (direct):
Tl1 0.0000 0.0000 0.0000  8 As 2.97
As1 0.2500 0.2500 0.2500  4 Pd 2.97, 4 Tl 2.97
As2 0.7500 0.7500 0.7500  4 Pd 2.97, 4 Tl 2.97
Pd1 0.5000 0.5000 0.5000  8 As 2.97

## Properties
N(E_F), states/eV/atom: 0.843
Symmetry: Fm-3m (225)



Energy comparison, zero being the most stable, in eV/atom: 1 0.000; 2 0.271.



--- 1 ---
DFT (PBE-GGA) results for a relaxed Tl3AsPd crystal.

Cell: 5.4555 5.4555 5.4555 Å, 90.00 90.00 90.00°
With the nearest neighbours (Å) after each atom.
Positions (direct):
Tl1 0.0000 0.0000 0.5000  2 As 2.73
Tl2 0.0000 0.5000 0.0000  2 As 2.73
Tl3 0.5000 0.0000 0.0000  2 As 2.73
As1 0.0000 0.0000 0.0000  6 Tl 2.73
Pd1 0.5000 0.5000 0.5000  12 Tl 3.86

## Properties
N(E_F), states/eV/atom: 0.432
Symmetry: Pm-3m (221)



--- 2 ---
DFT (PBE-GGA) results for a relaxed Tl3AsPd crystal.

Cell: 5.3257 5.3257 5.3257 Å, 90.00 90.00 90.00°
With the nearest neighbours (Å) after each atom.
Positions (direct):
Tl1 0.0000 0.0000 0.5000  2 Pd 2.66
Tl2 0.0000 0.5000 0.0000  2 Pd 2.66
Tl3 0.5000 0.0000 0.0000  2 Pd 2.66
As1 0.5000 0.5000 0.5000  12 Tl 3.77
Pd1 0.0000 0.0000 0.0000  6 Tl 2.66

## Properties
N(E_F), states/eV/atom: 0.662
Symmetry: Pm-3m (221)



Energy comparison, zero being the most stable, in eV/atom: 1 0.373; 2 0.000.



--- 1 ---
DFT (PBE-GGA) results for a relaxed TlAs2Pd8 crystal.

Cell: 6.7441 6.7441 4.5652 Å, 99.09 99.09 111.98°
With the nearest neighbours (Å) after each atom.
Positions (direct):
Tl1 0.0000 0.0000 0.0000  12 Pd 2.74-3.06
As1 0.3210 0.6790 0.5000  8 Pd 2.43-2.59
As2 0.6790 0.3210 0.5000  8 Pd 2.43-2.59
Pd1 0.0689 0.3243 0.5947  2 As 2.51-2.59
Pd2 0.2454 0.7546 0.0000  2 As 2.43
Pd3 0.3243 0.0689 0.5947  2 As 2.51-2.59
Pd4 0.3847 0.3847 0.1808  2 As 2.48, 1 Pd 2.72
Pd5 0.6153 0.6153 0.8192  2 As 2.48, 1 Pd 2.72
Pd6 0.6757 0.9311 0.4053  2 As 2.51-2.59
Pd7 0.7546 0.2454 0.0000  2 As 2.43
Pd8 0.9311 0.6757 0.4053  2 As 2.51-2.59

## Properties
N(E_F), states/eV/atom: 0.402
Symmetry: C2/m (12)



--- 2 ---
DFT (PBE-GGA) results for a relaxed TlAs2Pd8 crystal.

Cell: 4.9111 5.7375 7.3319 Å, 110.41 104.00 99.05°
With the nearest neighbours (Å) after each atom.
Positions (direct):
Tl1 0.0000 0.0000 0.0000  10 Pd 2.81-2.95
As1 0.4045 0.3054 0.6823  8 Pd 2.47-2.66
As2 0.5955 0.6946 0.3177  8 Pd 2.47-2.66
Pd1 0.1458 0.8909 0.3576  3 As 2.56-2.66, 3 Pd 2.82-2.87, 1 Tl 2.86
Pd2 0.1998 0.4228 0.3883  2 As 2.51-2.56
Pd3 0.2484 0.5826 0.9592  2 As 2.47-2.56, 1 Pd 2.75
Pd4 0.3864 0.9030 0.7605  1 As 2.56, 1 Pd 2.81
Pd5 0.6136 0.0970 0.2395  1 As 2.56, 1 Pd 2.81
Pd6 0.7516 0.4174 0.0408  2 As 2.47-2.56, 1 Pd 2.75
Pd7 0.8002 0.5772 0.6117  2 As 2.51-2.56
Pd8 0.8542 0.1091 0.6424  3 As 2.56-2.66, 3 Pd 2.82-2.87, 1 Tl 2.86

## Properties
N(E_F), states/eV/atom: 0.491
Symmetry: P-1 (2)



Energy comparison, zero being the most stable, in eV/atom: 1 0.014; 2 0.000.



--- 1 ---
DFT (PBE-GGA) results for a relaxed TmAs2Pd4 crystal.

Cell: 6.9328 6.9328 4.3790 Å, 90.00 90.00 143.63°
With the nearest neighbours (Å) after each atom.
Positions (direct):
Tm1 0.0000 0.0000 0.0000  8 Pd 3.16-3.20, 8 As 3.31
As1 0.4070 0.5930 0.5000  4 Pd 2.43-2.44, 1 As 2.45
As2 0.5930 0.4070 0.5000  4 Pd 2.43-2.44, 1 As 2.45
Pd1 0.1774 0.8226 0.5000  2 As 2.43
Pd2 0.3255 0.6745 0.0000  2 As 2.44
Pd3 0.6745 0.3255 0.0000  2 As 2.44
Pd4 0.8226 0.1774 0.5000  2 As 2.43

## Properties
N(E_F), states/eV/atom: 0.384
Symmetry: Cmmm (65)



--- 2 ---
DFT (PBE-GGA) results for a relaxed TmAs2Pd4 crystal.

Cell: 7.7211 7.7211 4.0721 Å, 90.00 90.00 90.00°
With the nearest neighbours (Å) after each atom.
Positions (direct):
Tm1 0.0000 0.0000 0.0000  6 As 3.03-3.17, 8 Pd 3.36
Tm2 0.5000 0.5000 0.5000  6 As 3.03-3.17, 8 Pd 3.36
As1 0.2227 0.2227 0.5000  6 Pd 2.53-2.56
As2 0.2773 0.7227 0.0000  6 Pd 2.53-2.56
As3 0.7227 0.2773 0.0000  6 Pd 2.53-2.56
As4 0.7773 0.7773 0.5000  6 Pd 2.53-2.56
Pd1 0.0848 0.6646 0.5000  3 As 2.53-2.56, 1 Pd 2.74
Pd2 0.1646 0.4152 0.0000  3 As 2.53-2.56, 1 Pd 2.74
Pd3 0.3354 0.9152 0.5000  3 As 2.53-2.56, 1 Pd 2.74
Pd4 0.4152 0.1646 0.0000  3 As 2.53-2.56, 1 Pd 2.74
Pd5 0.5848 0.8354 0.0000  3 As 2.53-2.56, 1 Pd 2.74
Pd6 0.6646 0.0848 0.5000  3 As 2.53-2.56, 1 Pd 2.74
Pd7 0.8354 0.5848 0.0000  3 As 2.53-2.56, 1 Pd 2.74
Pd8 0.9152 0.3354 0.5000  3 As 2.53-2.56, 1 Pd 2.74

## Properties
N(E_F), states/eV/atom: 0.282
Symmetry: P4_2/mnm (136)



Energy comparison, zero being the most stable, in eV/atom: 1 0.070; 2 0.000.



--- 1 ---
DFT (PBE-GGA) results for a relaxed UAs2Pd3 crystal.

Cell: 8.6291 8.6291 10.0952 Å, 106.76 106.76 26.99°
With the nearest neighbours (Å) after each atom.
Positions (direct):
U1 0.0000 0.0000 0.0000  6 As 3.06-3.23, 6 Pd 3.20-3.21
U2 0.1565 0.1565 0.7046  6 As 3.07-3.18, 5 Pd 3.14-3.33
U3 0.8435 0.8435 0.2954  6 As 3.07-3.18, 5 Pd 3.14-3.33
As1 0.1997 0.1997 0.1386  6 Pd 2.56-2.59
As2 0.3633 0.3633 0.5332  5 Pd 2.41-2.61
As3 0.4568 0.4568 0.1968  4 Pd 2.48-2.77
As4 0.5432 0.5432 0.8032  4 Pd 2.48-2.77
As5 0.6367 0.6367 0.4668  5 Pd 2.41-2.61
As6 0.8003 0.8003 0.8614  6 Pd 2.56-2.59
Pd1 0.0358 0.0358 0.3294  4 As 2.56-2.73, 2 Pd 2.83
Pd2 0.2155 0.2155 0.3983  4 As 2.45-2.61
Pd3 0.3165 0.3165 0.0239  4 As 2.48-2.56
Pd4 0.3758 0.3758 0.7896  4 As 2.54-2.77, 1 Pd 2.82
Pd5 0.5000 0.5000 0.5000  2 As 2.41
Pd6 0.6242 0.6242 0.2104  4 As 2.54-2.77, 1 Pd 2.82
Pd7 0.6835 0.6835 0.9761  4 As 2.48-2.56
Pd8 0.7845 0.7845 0.6017  4 As 2.45-2.61
Pd9 0.9642 0.9642 0.6706  4 As 2.56-2.73, 2 Pd 2.83

## Properties
N(E_F), states/eV/atom: 1.401
Symmetry: C2/m (12)



--- 2 ---
DFT (PBE-GGA) results for a relaxed UAs2Pd3 crystal.

Cell: 7.8741 7.8741 7.4905 Å, 117.07 117.07 32.05°
With the nearest neighbours (Å) after each atom.
Positions (direct):
U1 0.1427 0.1427 0.2188  5 As 2.88-2.97, 3 Pd 3.11-3.13
U2 0.8573 0.8573 0.7812  5 As 2.88-2.97, 3 Pd 3.11-3.13
As1 0.2061 0.2061 0.6475  4 Pd 2.49-2.61
As2 0.5002 0.5002 0.1780  4 Pd 2.51-2.54, 1 As 2.66
As3 0.4998 0.4998 0.8220  4 Pd 2.51-2.54, 1 As 2.66
As4 0.7939 0.7939 0.3525  4 Pd 2.49-2.61
Pd1 0.0630 0.0630 0.7491  3 As 2.54-2.61
Pd2 0.3109 0.3109 0.0227  2 As 2.49-2.53, 2 Pd 2.77
Pd3 0.3894 0.3894 0.4450  3 As 2.51-2.52, 1 Pd 2.80
Pd4 0.6106 0.6106 0.5550  3 As 2.51-2.52, 1 Pd 2.80
Pd5 0.6891 0.6891 0.9773  2 As 2.49-2.53, 2 Pd 2.77
Pd6 0.9370 0.9370 0.2509  3 As 2.54-2.61

## Properties
N(E_F), states/eV/atom: 1.321
Symmetry: C2/m (12)



Energy comparison, zero being the most stable, in eV/atom: 1 0.000; 2 0.006.



--- 1 ---
DFT (PBE-GGA) results for a relaxed VAsPd3 crystal.

Cell: 4.6249 4.6249 4.6249 Å, 90.00 90.00 90.00°
With the nearest neighbours (Å) after each atom.
Positions (direct):
V1 0.0000 0.0000 0.0000  12 Pd 3.27
As1 0.5000 0.5000 0.5000  6 Pd 2.31
Pd1 0.0000 0.5000 0.5000  2 As 2.31
Pd2 0.5000 0.0000 0.5000  2 As 2.31
Pd3 0.5000 0.5000 0.0000  2 As 2.31

## Properties
N(E_F), states/eV/atom: 1.540
Symmetry: Pm-3m (221)



--- 2 ---
DFT (PBE-GGA) results for a relaxed VAsPd3 crystal.

Cell: 4.6237 4.6237 4.6237 Å, 90.00 90.00 90.00°
With the nearest neighbours (Å) after each atom.
Positions (direct):
V1 0.0000 0.0000 0.0000  6 Pd 2.31
As1 0.5000 0.5000 0.5000  12 Pd 3.27
Pd1 0.0000 0.0000 0.5000  2 V 2.31
Pd2 0.0000 0.5000 0.0000  2 V 2.31
Pd3 0.5000 0.0000 0.0000  2 V 2.31

## Properties
N(E_F), states/eV/atom: 0.926
Symmetry: Pm-3m (221)



Energy comparison, zero being the most stable, in eV/atom: 1 0.000; 2 0.409.



--- 1 ---
DFT (PBE-GGA) results for a relaxed As2PdW2 crystal.

Cell: 7.2119 7.2119 3.0828 Å, 90.00 90.00 90.00°
With the nearest neighbours (Å) after each atom.
Positions (direct):
As1 0.1501 0.3499 0.0000  6 W 2.60-2.62, 2 Pd 2.75
As2 0.3499 0.8499 0.0000  6 W 2.60-2.62, 2 Pd 2.75
As3 0.6501 0.1501 0.0000  6 W 2.60-2.62, 2 Pd 2.75
As4 0.8499 0.6501 0.0000  6 W 2.60-2.62, 2 Pd 2.75
Pd1 0.0000 0.0000 0.0000  4 As 2.75
Pd2 0.5000 0.5000 0.0000  4 As 2.75
W1 0.1442 0.6442 0.5000  6 As 2.60-2.62
W2 0.3558 0.1442 0.5000  6 As 2.60-2.62
W3 0.6442 0.8558 0.5000  6 As 2.60-2.62
W4 0.8558 0.3558 0.5000  6 As 2.60-2.62

## Properties
N(E_F), states/eV/atom: 0.865
Symmetry: P4/mbm (127)



--- 2 ---
DFT (PBE-GGA) results for a relaxed As2PdW2 crystal.

Cell: 5.8823 5.8823 5.8823 Å, 138.25 138.25 60.52°
With the nearest neighbours (Å) after each atom.
Positions (direct):
As1 0.1153 0.1153 0.0000  1 As 2.34, 4 W 2.50
As2 0.8847 0.8847 0.0000  1 As 2.34, 4 W 2.50
Pd1 0.5000 0.5000 0.0000  8 As 3.19, 8 W 3.29
W1 0.2500 0.7500 0.5000  4 As 2.50
W2 0.7500 0.2500 0.5000  4 As 2.50

## Properties
N(E_F), states/eV/atom: 0.637
Symmetry: I4/mmm (139)



Energy comparison, zero being the most stable, in eV/atom: 1 0.000; 2 0.090.



--- 1 ---
DFT (PBE-GGA) results for a relaxed Y2AsPd2 crystal.

Cell: 5.4538 5.4538 5.4538 Å, 119.60 119.60 90.69°
With the nearest neighbours (Å) after each atom.
Positions (direct):
Y1 0.2500 0.7500 0.5000  4 Pd 2.82
Y2 0.7500 0.2500 0.5000  4 Pd 2.82
As1 0.0000 0.0000 0.0000  2 Pd 2.58
Pd1 0.3371 0.3371 0.0000  1 Pd 2.50, 1 As 2.58
Pd2 0.6629 0.6629 0.0000  1 Pd 2.50, 1 As 2.58

## Properties
N(E_F), states/eV/atom: 1.292
Symmetry: I4/mmm (139)



--- 2 ---
DFT (PBE-GGA) results for a relaxed Y2AsPd2 crystal.

Cell: 7.3273 7.3273 3.9621 Å, 90.00 90.00 90.00°
With the nearest neighbours (Å) after each atom.
Positions (direct):
Y1 0.1770 0.3230 0.0000  6 Pd 2.82-3.02
Y2 0.3230 0.8230 0.0000  6 Pd 2.82-3.02
Y3 0.6770 0.1770 0.0000  6 Pd 2.82-3.02
Y4 0.8230 0.6770 0.0000  6 Pd 2.82-3.02
As1 0.0000 0.0000 0.5000  4 Pd 2.88
As2 0.5000 0.5000 0.5000  4 Pd 2.88
Pd1 0.1296 0.6296 0.5000  1 Pd 2.69, 2 Y 2.82, 2 As 2.88
Pd2 0.3704 0.1296 0.5000  1 Pd 2.69, 2 Y 2.82, 2 As 2.88
Pd3 0.6296 0.8704 0.5000  1 Pd 2.69, 2 Y 2.82, 2 As 2.88
Pd4 0.8704 0.3704 0.5000  1 Pd 2.69, 2 Y 2.82, 2 As 2.88

## Properties
N(E_F), states/eV/atom: 0.734
Symmetry: P4/mbm (127)



--- 3 ---
DFT (PBE-GGA) results for a relaxed Y2AsPd2 crystal.

Cell: 7.9098 7.9098 3.6327 Å, 90.00 90.00 90.00°
With the nearest neighbours (Å) after each atom.
Positions (direct):
Y1 0.1719 0.3281 0.0000  6 Pd 2.92-2.98, 2 As 2.93
Y2 0.3281 0.8281 0.0000  6 Pd 2.92-2.98, 2 As 2.93
Y3 0.6719 0.1719 0.0000  6 Pd 2.92-2.98, 2 As 2.93
Y4 0.8281 0.6719 0.0000  6 Pd 2.92-2.98, 2 As 2.93
As1 0.0000 0.0000 0.0000  4 Y 2.93
As2 0.5000 0.5000 0.0000  4 Y 2.93
Pd1 0.1232 0.6232 0.5000  1 Pd 2.76, 6 Y 2.92-2.98
Pd2 0.3768 0.1232 0.5000  1 Pd 2.76, 6 Y 2.92-2.98
Pd3 0.6232 0.8768 0.5000  1 Pd 2.76, 6 Y 2.92-2.98
Pd4 0.8768 0.3768 0.5000  1 Pd 2.76, 6 Y 2.92-2.98

## Properties
N(E_F), states/eV/atom: 0.965
Symmetry: P4/mbm (127)



Energy comparison, zero being the most stable, in eV/atom: 1 0.227; 2 0.000; 3 0.187.